[1]
# PBE Zr2AuCl, relaxed
data_Zr2AuCl
_chemical_formula_sum 'Zr4 Au2 Cl2'
_cell_length_a 8.4666
_cell_length_b 8.4666
_cell_length_c 8.4666
_cell_angle_alpha 145.14
_cell_angle_beta 145.14
_cell_angle_gamma 50.12
_space_group_name_H-M_alt 'P 1'
_space_group_IT_number 1
_space_group_name_Hall 'P 1'
loop_
_atom_site_label
_atom_site_fract_x
_atom_site_fract_y
_atom_site_fract_z
Zr1 0.0926 0.6250 0.9676
Zr2 0.3750 0.3426 0.4676
Zr3 0.6574 0.1250 0.0324
Zr4 0.8750 0.9074 0.5324
Au1 0.2500 0.7500 0.5000
Au2 0.5000 0.5000 0.0000
Cl1 0.0000 0.0000 0.0000
Cl2 0.7500 0.2500 0.5000
# **DFT total energy**: -45.30 eV/cell
# **Relative energy among the computed polymorphs**: 2.194 eV/f.u.
# **DOS(E_F)**: 0.195 states/eV/cell

[2]
# PBE ZrAu2Cl, relaxed
data_ZrAu2Cl
_chemical_formula_sum 'Zr1 Au2 Cl1'
_cell_length_a 4.7621
_cell_length_b 4.7621
_cell_length_c 4.7621
_cell_angle_alpha 60.00
_cell_angle_beta 60.00
_cell_angle_gamma 60.00
_space_group_name_H-M_alt 'P 1'
_space_group_IT_number 1
_space_group_name_Hall 'P 1'
loop_
_atom_site_label
_atom_site_fract_x
_atom_site_fract_y
_atom_site_fract_z
Zr1 0.0000 0.0000 0.0000
Au1 0.2500 0.2500 0.2500
Au2 0.5000 0.5000 0.5000
Cl1 0.7500 0.7500 0.7500
# **DFT total energy**: -18.13 eV/cell
# **Relative energy among the computed polymorphs**: 1.156 eV/f.u.
# **DOS(E_F)**: 2.981 states/eV/cell

[3]
# PBE Zr2AuCl, relaxed
data_Zr2AuCl
_chemical_formula_sum 'Zr2 Au1 Cl1'
_cell_length_a 3.1934
_cell_length_b 3.1934
_cell_length_c 9.2812
_cell_angle_alpha 90.00
_cell_angle_beta 90.00
_cell_angle_gamma 90.00
_space_group_name_H-M_alt 'P 1'
_space_group_IT_number 1
_space_group_name_Hall 'P 1'
loop_
_atom_site_label
_atom_site_fract_x
_atom_site_fract_y
_atom_site_fract_z
Zr1 0.0000 0.0000 0.0000
Zr2 0.5000 0.5000 0.2450
Au1 0.0000 0.0000 0.4464
Cl1 0.5000 0.5000 0.8179
# **DFT total energy**: -24.56 eV/cell
# **Relative energy among the computed polymorphs**: 0.289 eV/f.u.
# **DOS(E_F)**: 2.586 states/eV/cell

[4]
# PBE ZrAu2Cl, relaxed
data_ZrAu2Cl
_chemical_formula_sum 'Zr1 Au2 Cl1'
_cell_length_a 3.3712
_cell_length_b 3.5680
_cell_length_c 8.0969
_cell_angle_alpha 90.00
_cell_angle_beta 101.83
_cell_angle_gamma 90.00
_space_group_name_H-M_alt 'P 1'
_space_group_IT_number 1
_space_group_name_Hall 'P 1'
loop_
_atom_site_label
_atom_site_fract_x
_atom_site_fract_y
_atom_site_fract_z
Zr1 0.0000 0.0000 0.0000
Au1 0.1830 0.0000 0.3710
Au2 0.5929 0.5000 0.1881
Cl1 0.8831 0.5000 0.7639
# **DFT total energy**: -19.29 eV/cell
# **Relative energy among the computed polymorphs**: 0.000 eV/f.u.
# **DOS(E_F)**: 1.696 states/eV/cell

[5]
# PBE ZrAuCl2, relaxed
data_ZrAuCl2
_chemical_formula_sum 'Zr1 Au1 Cl2'
_cell_length_a 11.2391
_cell_length_b 11.2391
_cell_length_c 11.2391
_cell_angle_alpha 16.30
_cell_angle_beta 16.30
_cell_angle_gamma 16.30
_space_group_name_H-M_alt 'P 1'
_space_group_IT_number 1
_space_group_name_Hall 'P 1'
loop_
_atom_site_label
_atom_site_fract_x
_atom_site_fract_y
_atom_site_fract_z
Zr1 0.0000 0.0000 0.0000
Au1 0.5000 0.5000 0.5000
Cl1 0.2777 0.2777 0.2777
Cl2 0.7223 0.7223 0.7223
# **DFT total energy**: -19.13 eV/cell
# **Relative energy among the computed polymorphs**: 0.375 eV/f.u.
# **DOS(E_F)**: 2.378 states/eV/cell

[6]
# PBE Zr2AuCl, relaxed
data_Zr2AuCl
_chemical_formula_sum 'Zr2 Au1 Cl1'
_cell_length_a 3.2078
_cell_length_b 5.0264
_cell_length_c 5.3192
_cell_angle_alpha 90.00
_cell_angle_beta 106.69
_cell_angle_gamma 90.00
_space_group_name_H-M_alt 'P 1'
_space_group_IT_number 1
_space_group_name_Hall 'P 1'
loop_
_atom_site_label
_atom_site_fract_x
_atom_site_fract_y
_atom_site_fract_z
Zr1 0.0000 0.0000 0.0000
Zr2 0.2864 0.5000 0.5697
Au1 0.5698 0.5000 0.1181
Cl1 0.2977 0.0000 0.5836
# **DFT total energy**: -24.47 eV/cell
# **Relative energy among the computed polymorphs**: 0.372 eV/f.u.
# **DOS(E_F)**: 3.080 states/eV/cell

[7]
# PBE ZrAu2Cl, relaxed
data_ZrAu2Cl
_chemical_formula_sum 'Zr1 Au2 Cl1'
_cell_length_a 9.9918
_cell_length_b 9.9918
_cell_length_c 9.9918
_cell_angle_alpha 18.51
_cell_angle_beta 18.51
_cell_angle_gamma 18.51
_space_group_name_H-M_alt 'P 1'
_space_group_IT_number 1
_space_group_name_Hall 'P 1'
loop_
_atom_site_label
_atom_site_fract_x
_atom_site_fract_y
_atom_site_fract_z
Zr1 0.0000 0.0000 0.0000
Au1 0.4852 0.4852 0.4852
Au2 0.7425 0.7425 0.7425
Cl1 0.2711 0.2711 0.2711
# **DFT total energy**: -18.99 eV/cell
# **Relative energy among the computed polymorphs**: 0.298 eV/f.u.
# **DOS(E_F)**: 2.455 states/eV/cell

[8]
# PBE Zr2AuCl, relaxed
data_Zr2AuCl
_chemical_formula_sum 'Zr2 Au1 Cl1'
_cell_length_a 3.1558
_cell_length_b 3.1558
_cell_length_c 7.6096
_cell_angle_alpha 90.00
_cell_angle_beta 90.00
_cell_angle_gamma 90.00
_space_group_name_H-M_alt 'P 1'
_space_group_IT_number 1
_space_group_name_Hall 'P 1'
loop_
_atom_site_label
_atom_site_fract_x
_atom_site_fract_y
_atom_site_fract_z
Zr1 0.0000 0.0000 0.2419
Zr2 0.0000 0.0000 0.7581
Au1 0.5000 0.5000 0.5000
Cl1 0.5000 0.5000 0.0000
# **DFT total energy**: -24.17 eV/cell
# **Relative energy among the computed polymorphs**: 0.673 eV/f.u.
# **DOS(E_F)**: 3.527 states/eV/cell